Density functional theory data (PBE) for an optimized crystal structure of Y2CuSb.

Output
electronic total energy = -46.35 eV/cell
formation energy from raw total energies = -11.70 kcal/mol of atoms

```
data_Y2CuSb
_chemical_formula_sum 'Y4 Cu2 Sb2'
_symmetry_space_group_name_H-M 'C 1 2/m 1'
_symmetry_Int_Tables_number 12
_symmetry_space_group_name_Hall '-C 2y'
_cell_length_a 7.4532
_cell_length_b 4.2801
_cell_length_c 7.2140
_cell_angle_alpha 90.00
_cell_angle_beta 109.92
_cell_angle_gamma 90.00
loop_
_atom_site_label
_atom_site_fract_x
_atom_site_fract_y
_atom_site_fract_z
Y1 0.2439 0.0000 0.2313
Cu1 0.0000 0.5000 0.0000
Sb1 0.0000 0.0000 0.5000
```